# AcAsBrO4 PBE optimized geometry
# Uncorrected formation energy, eV/atom: -1.93
# Crystal system: monoclinic
data_AcAsBrO4
_chemical_formula_sum 'Ac4 As4 Br4 O16'
_cell_length_a 12.1828
_cell_length_b 6.7639
_cell_length_c 7.2406
_cell_angle_alpha 90.00
_cell_angle_beta 100.19
_cell_angle_gamma 90.00
_symmetry_space_group_name_H-M 'C 1 2/m 1'
_symmetry_Int_Tables_number 12
loop_
_symmetry_equiv_pos_as_xyz
'x,y,z'
'-x,-y,-z'
'-x,y,-z'
'x,-y,z'
'x+1/2,y+1/2,z'
'-x+1/2,-y+1/2,-z'
'-x+1/2,y+1/2,-z'
'x+1/2,-y+1/2,z'
loop_
_atom_site_label
_atom_site_type_symbol
_atom_site_fract_x
_atom_site_fract_y
_atom_site_fract_z
Ac1 Ac 0.2030 0.0000 0.3110
As1 As 0.1355 0.0000 0.7528
Br1 Br 0.0123 0.5000 0.1612
O1 O 0.0051 0.0000 0.2597
O2 O 0.1776 0.1972 0.6264
O3 O 0.2045 0.0000 0.9783